Run 1
Crystalline Cd5GaAu3 at its relaxed geometry, computed with GGA-PBE.

Values from the calculation:
SG: C2/c

a b c (Å): 8.048 8.048 9.244
angles (deg): 107.67 107.67 47.27
Fractional coordinates of all 18 atoms:
Cd (0.081, 0.582, 0.904)
Cd (0.088, 0.567, 0.423)
Cd (0.250, 0.750, 0.750)
Cd (0.418, 0.919, 0.596)
Cd (0.433, 0.912, 0.077)
Cd (0.567, 0.088, 0.923)
Cd (0.582, 0.081, 0.404)
Cd (0.750, 0.250, 0.250)
Cd (0.912, 0.433, 0.577)
Cd (0.919, 0.418, 0.096)
Ga (0.272, 0.728, 0.250)
Ga (0.728, 0.272, 0.750)
Au (0.126, 0.184, 0.828)
Au (0.184, 0.126, 0.328)
Au (0.500, 0.500, 0.000)
Au (0.500, 0.500, 0.500)
Au (0.816, 0.874, 0.672)
Au (0.874, 0.816, 0.172)

---

Run 2
Crystalline Cd5GaAu3 at its relaxed geometry, computed with GGA-PBE.

Values from the calculation:
SG: C2/m

a b c (Å): 7.542 7.542 8.594
angles (deg): 99.58 99.58 67.61
Fractional coordinates of all 18 atoms:
Cd (0.019, 0.019, 0.675)
Cd (0.132, 0.540, 0.329)
Cd (0.180, 0.820, 0.000)
Cd (0.258, 0.258, 0.933)
Cd (0.460, 0.868, 0.671)
Cd (0.540, 0.132, 0.329)
Cd (0.742, 0.742, 0.067)
Cd (0.820, 0.180, 0.000)
Cd (0.868, 0.460, 0.671)
Cd (0.981, 0.981, 0.325)
Ga (0.396, 0.396, 0.717)
Ga (0.604, 0.604, 0.283)
Au (0.167, 0.167, 0.195)
Au (0.206, 0.206, 0.533)
Au (0.500, 0.500, 0.000)
Au (0.500, 0.500, 0.500)
Au (0.794, 0.794, 0.467)
Au (0.833, 0.833, 0.805)

---

Verdict on stability: run 1 comes out on top.

---

Run 1
Crystalline Cd3GaAu6 at its relaxed geometry, computed with GGA-PBE.

Values from the calculation:
SG: Cmc2_1

a b c (Å): 7.361 7.361 7.287
angles (deg): 90.00 90.00 88.85
Fractional coordinates of all 20 atoms:
Cd (0.181, 0.819, 0.500)
Cd (0.298, 0.384, 0.503)
Cd (0.384, 0.298, 0.003)
Cd (0.616, 0.702, 0.503)
Cd (0.702, 0.616, 0.003)
Cd (0.819, 0.181, 0.000)
Ga (0.140, 0.860, 0.006)
Ga (0.860, 0.140, 0.506)
Au (0.001, 0.496, 0.758)
Au (0.134, 0.141, 0.252)
Au (0.141, 0.134, 0.752)
Au (0.356, 0.644, 0.804)
Au (0.358, 0.642, 0.200)
Au (0.496, 0.001, 0.258)
Au (0.504, 0.999, 0.758)
Au (0.642, 0.358, 0.700)
Au (0.644, 0.356, 0.304)
Au (0.859, 0.866, 0.252)
Au (0.866, 0.859, 0.752)
Au (0.999, 0.504, 0.258)

---

Run 2
Crystalline Cd3GaAu6 at its relaxed geometry, computed with GGA-PBE.

Values from the calculation:
SG: P2_1/m

a b c (Å): 9.199 4.192 10.740
angles (deg): 90.00 107.64 90.00
Fractional coordinates of all 20 atoms:
Cd (0.002, 0.250, 0.212)
Cd (0.286, 0.750, 0.327)
Cd (0.316, 0.250, 0.090)
Cd (0.684, 0.750, 0.910)
Cd (0.714, 0.250, 0.673)
Cd (0.998, 0.750, 0.788)
Ga (0.226, 0.750, 0.666)
Ga (0.774, 0.250, 0.334)
Au (0.008, 0.750, 0.400)
Au (0.098, 0.750, 0.067)
Au (0.255, 0.250, 0.512)
Au (0.343, 0.750, 0.919)
Au (0.466, 0.250, 0.798)
Au (0.492, 0.750, 0.605)
Au (0.508, 0.250, 0.395)
Au (0.534, 0.750, 0.202)
Au (0.657, 0.250, 0.081)
Au (0.745, 0.750, 0.488)
Au (0.902, 0.250, 0.933)
Au (0.992, 0.250, 0.600)

---

Verdict on stability: run 1 comes out on top.

---

Run 1
Crystalline KCd2GaAu at its relaxed geometry, computed with GGA-PBE.

Values from the calculation:
SG: P4/mmm

a b c (Å): 5.387 5.387 5.112
angles (deg): 90.00 90.00 90.00
Fractional coordinates of all 5 atoms:
K (0.000, 0.000, 0.000)
Cd (0.000, 0.500, 0.500)
Cd (0.500, 0.000, 0.500)
Ga (0.500, 0.500, 0.000)
Au (0.500, 0.500, 0.500)

---

Run 2
Crystalline KCd2GaAu at its relaxed geometry, computed with GGA-PBE.

Values from the calculation:
SG: P4/mmm

a b c (Å): 5.428 5.428 5.039
angles (deg): 90.00 90.00 90.00
Fractional coordinates of all 5 atoms:
K (0.000, 0.000, 0.000)
Cd (0.000, 0.500, 0.500)
Cd (0.500, 0.000, 0.500)
Ga (0.500, 0.500, 0.500)
Au (0.500, 0.500, 0.000)

---

Verdict on stability: run 1 comes out on top.

---

Run 1
Crystalline RbCdGaAu2 at its relaxed geometry, computed with GGA-PBE.

Values from the calculation:
SG: P4/mmm

a b c (Å): 5.116 5.116 5.457
angles (deg): 90.00 90.00 90.00
Fractional coordinates of all 5 atoms:
Rb (0.000, 0.000, 0.000)
Cd (0.500, 0.500, 0.000)
Ga (0.500, 0.500, 0.500)
Au (0.000, 0.500, 0.500)
Au (0.500, 0.000, 0.500)

---

Run 2
Crystalline RbCdGaAu2 at its relaxed geometry, computed with GGA-PBE.

Values from the calculation:
SG: I4mm

a b c (Å): 5.023 5.023 10.331
angles (deg): 90.00 90.00 90.00
Fractional coordinates of all 10 atoms:
Rb (0.000, 0.000, 0.000)
Rb (0.500, 0.500, 0.500)
Cd (0.000, 0.000, 0.375)
Cd (0.500, 0.500, 0.875)
Ga (0.000, 0.000, 0.656)
Ga (0.500, 0.500, 0.156)
Au (0.000, 0.500, 0.238)
Au (0.000, 0.500, 0.738)
Au (0.500, 0.000, 0.238)
Au (0.500, 0.000, 0.738)

---

Verdict on stability: run 2 comes out on top.

---

Run 1
Crystalline ZrCdGa2Au at its relaxed geometry, computed with GGA-PBE.

Values from the calculation:
SG: P4/mmm

a b c (Å): 5.309 5.309 5.217
angles (deg): 90.00 90.00 90.00
Fractional coordinates of all 5 atoms:
Zr (0.000, 0.000, 0.000)
Cd (0.500, 0.500, 0.500)
Ga (0.000, 0.500, 0.000)
Ga (0.500, 0.000, 0.000)
Au (0.000, 0.000, 0.500)

---

Run 2
Crystalline ZrCdGa2Au at its relaxed geometry, computed with GGA-PBE.

Values from the calculation:
SG: P4/mmm

a b c (Å): 4.844 4.844 5.127
angles (deg): 90.00 90.00 90.00
Fractional coordinates of all 5 atoms:
Zr (0.000, 0.000, 0.000)
Cd (0.500, 0.500, 0.000)
Ga (0.000, 0.500, 0.500)
Ga (0.500, 0.000, 0.500)
Au (0.500, 0.500, 0.500)

---

Verdict on stability: run 2 comes out on top.

---

Run 1
Crystalline GdCdAu2 at its relaxed geometry, computed with GGA-PBE.

Values from the calculation:
SG: P4/mmm

a b c (Å): 3.598 3.598 6.799
angles (deg): 90.00 90.00 90.00
Fractional coordinates of all 4 atoms:
Gd (0.000, 0.000, 0.000)
Cd (0.000, 0.000, 0.500)
Au (0.500, 0.500, 0.256)
Au (0.500, 0.500, 0.744)

---

Run 2
Crystalline GdCdAu2 at its relaxed geometry, computed with GGA-PBE.

Values from the calculation:
SG: Fm-3m

a b c (Å): 7.041 7.041 7.041
angles (deg): 90.00 90.00 90.00
Fractional coordinates of all 16 atoms:
Gd (0.000, 0.000, 0.000)
Gd (0.000, 0.500, 0.500)
Gd (0.500, 0.000, 0.500)
Gd (0.500, 0.500, 0.000)
Cd (0.000, 0.000, 0.500)
Cd (0.000, 0.500, 0.000)
Cd (0.500, 0.000, 0.000)
Cd (0.500, 0.500, 0.500)
Au (0.250, 0.250, 0.250)
Au (0.250, 0.250, 0.750)
Au (0.250, 0.750, 0.250)
Au (0.250, 0.750, 0.750)
Au (0.750, 0.250, 0.250)
Au (0.750, 0.250, 0.750)
Au (0.750, 0.750, 0.250)
Au (0.750, 0.750, 0.750)

---

Verdict on stability: run 2 comes out on top.

---

Run 1
Crystalline CdGeAu2 at its relaxed geometry, computed with GGA-PBE.

Values from the calculation:
SG: P4/mmm

a b c (Å): 4.363 4.363 4.035
angles (deg): 90.00 90.00 90.00
Fractional coordinates of all 4 atoms:
Cd (0.000, 0.000, 0.000)
Ge (0.500, 0.500, 0.000)
Au (0.000, 0.500, 0.500)
Au (0.500, 0.000, 0.500)

---

Run 2
Crystalline CdGeAu2 at its relaxed geometry, computed with GGA-PBE.

Values from the calculation:
SG: P4/mmm

a b c (Å): 3.321 3.321 6.993
angles (deg): 90.00 90.00 90.00
Fractional coordinates of all 4 atoms:
Cd (0.000, 0.000, 0.000)
Ge (0.000, 0.000, 0.500)
Au (0.500, 0.500, 0.262)
Au (0.500, 0.500, 0.738)

---

Verdict on stability: run 2 comes out on top.

---

Run 1
Crystalline CdGeAu2 at its relaxed geometry, computed with GGA-PBE.

Values from the calculation:
SG: Pbca

a b c (Å): 5.756 17.021 6.914
angles (deg): 90.00 90.00 90.00
Fractional coordinates of all 32 atoms:
Cd (0.250, 0.192, 0.114)
Cd (0.250, 0.308, 0.614)
Cd (0.250, 0.692, 0.114)
Cd (0.250, 0.808, 0.614)
Cd (0.750, 0.192, 0.386)
Cd (0.750, 0.308, 0.886)
Cd (0.750, 0.692, 0.386)
Cd (0.750, 0.808, 0.886)
Ge (0.249, 0.061, 0.576)
Ge (0.249, 0.439, 0.076)
Ge (0.251, 0.561, 0.576)
Ge (0.251, 0.939, 0.076)
Ge (0.749, 0.061, 0.924)
Ge (0.749, 0.439, 0.424)
Ge (0.751, 0.561, 0.924)
Ge (0.751, 0.939, 0.424)
Au (0.000, 0.054, 0.249)
Au (0.000, 0.173, 0.750)
Au (0.000, 0.327, 0.250)
Au (0.000, 0.446, 0.749)
Au (0.000, 0.554, 0.251)
Au (0.000, 0.673, 0.750)
Au (0.000, 0.827, 0.250)
Au (0.000, 0.946, 0.751)
Au (0.500, 0.054, 0.251)
Au (0.500, 0.173, 0.750)
Au (0.500, 0.327, 0.250)
Au (0.500, 0.446, 0.751)
Au (0.500, 0.554, 0.249)
Au (0.500, 0.673, 0.750)
Au (0.500, 0.827, 0.250)
Au (0.500, 0.946, 0.749)

---

Run 2
Crystalline CdGeAu2 at its relaxed geometry, computed with GGA-PBE.

Values from the calculation:
SG: R3m

a b c (Å): 3.288 3.288 25.192
angles (deg): 90.00 90.00 120.00
Fractional coordinates of all 12 atoms:
Cd (0.000, 0.000, 0.000)
Cd (0.333, 0.667, 0.667)
Cd (0.667, 0.333, 0.333)
Ge (0.000, 0.000, 0.833)
Ge (0.333, 0.667, 0.500)
Ge (0.667, 0.333, 0.166)
Au (0.000, 0.000, 0.245)
Au (0.000, 0.000, 0.421)
Au (0.333, 0.667, 0.088)
Au (0.333, 0.667, 0.912)
Au (0.667, 0.333, 0.579)
Au (0.667, 0.333, 0.755)

---

Run 3
Crystalline CdGeAu2 at its relaxed geometry, computed with GGA-PBE.

Values from the calculation:
SG: I-42d

a b c (Å): 7.693 7.693 5.612
angles (deg): 90.00 90.00 90.00
Fractional coordinates of all 16 atoms:
Cd (0.000, 0.000, 0.000)
Cd (0.000, 0.500, 0.250)
Cd (0.500, 0.000, 0.750)
Cd (0.500, 0.500, 0.500)
Ge (0.000, 0.000, 0.500)
Ge (0.000, 0.500, 0.750)
Ge (0.500, 0.000, 0.250)
Ge (0.500, 0.500, 0.000)
Au (0.222, 0.250, 0.625)
Au (0.250, 0.722, 0.875)
Au (0.250, 0.778, 0.375)
Au (0.278, 0.250, 0.125)
Au (0.722, 0.750, 0.125)
Au (0.750, 0.222, 0.375)
Au (0.750, 0.278, 0.875)
Au (0.778, 0.750, 0.625)

---

Run 4
Crystalline CdGeAu2 at its relaxed geometry, computed with GGA-PBE.

Values from the calculation:
SG: R-3m

a b c (Å): 3.299 3.299 25.118
angles (deg): 90.00 90.00 120.00
Fractional coordinates of all 12 atoms:
Cd (0.000, 0.000, 0.000)
Cd (0.333, 0.667, 0.667)
Cd (0.667, 0.333, 0.333)
Ge (0.000, 0.000, 0.500)
Ge (0.333, 0.667, 0.167)
Ge (0.667, 0.333, 0.833)
Au (0.000, 0.000, 0.245)
Au (0.000, 0.000, 0.755)
Au (0.333, 0.667, 0.422)
Au (0.333, 0.667, 0.912)
Au (0.667, 0.333, 0.088)
Au (0.667, 0.333, 0.578)

---

Verdict on stability: run 1 comes out on top.

---

Run 1
Crystalline CdGeAu3 at its relaxed geometry, computed with GGA-PBE.

Values from the calculation:
SG: Pnma

a b c (Å): 4.514 5.406 19.924
angles (deg): 90.00 90.00 90.00
Fractional coordinates of all 20 atoms:
Cd (0.250, 0.250, 0.110)
Cd (0.250, 0.750, 0.610)
Cd (0.750, 0.250, 0.390)
Cd (0.750, 0.750, 0.890)
Ge (0.247, 0.250, 0.846)
Ge (0.253, 0.750, 0.346)
Ge (0.747, 0.250, 0.654)
Ge (0.753, 0.750, 0.154)
Au (0.247, 0.250, 0.707)
Au (0.250, 0.003, 0.455)
Au (0.250, 0.497, 0.455)
Au (0.250, 0.503, 0.955)
Au (0.250, 0.997, 0.955)
Au (0.253, 0.750, 0.207)
Au (0.747, 0.250, 0.793)
Au (0.750, 0.003, 0.045)
Au (0.750, 0.497, 0.045)
Au (0.750, 0.503, 0.545)
Au (0.750, 0.997, 0.545)
Au (0.753, 0.750, 0.293)

---

Run 2
Crystalline CdGeAu3 at its relaxed geometry, computed with GGA-PBE.

Values from the calculation:
SG: Pm-3m

a b c (Å): 5.129 5.129 5.129
angles (deg): 90.00 90.00 90.00
Fractional coordinates of all 5 atoms:
Cd (0.000, 0.000, 0.000)
Ge (0.500, 0.500, 0.500)
Au (0.000, 0.000, 0.500)
Au (0.000, 0.500, 0.000)
Au (0.500, 0.000, 0.000)

---

Run 3
Crystalline CdGeAu3 at its relaxed geometry, computed with GGA-PBE.

Values from the calculation:
SG: Pm-3m

a b c (Å): 4.917 4.917 4.917
angles (deg): 90.00 90.00 90.00
Fractional coordinates of all 5 atoms:
Cd (0.000, 0.000, 0.000)
Ge (0.500, 0.500, 0.500)
Au (0.000, 0.500, 0.500)
Au (0.500, 0.000, 0.500)
Au (0.500, 0.500, 0.000)

---

Run 4
Crystalline CdGeAu3 at its relaxed geometry, computed with GGA-PBE.

Values from the calculation:
SG: C2/c

a b c (Å): 7.666 7.666 7.049
angles (deg): 100.21 100.21 75.33
Fractional coordinates of all 20 atoms:
Cd (0.028, 0.972, 0.750)
Cd (0.351, 0.649, 0.250)
Cd (0.649, 0.351, 0.750)
Cd (0.972, 0.028, 0.250)
Ge (0.225, 0.559, 0.717)
Ge (0.441, 0.775, 0.783)
Ge (0.559, 0.225, 0.217)
Ge (0.775, 0.441, 0.283)
Au (0.000, 0.315, 0.024)
Au (0.000, 0.685, 0.976)
Au (0.011, 0.694, 0.401)
Au (0.266, 0.343, 0.379)
Au (0.306, 0.989, 0.099)
Au (0.315, 0.000, 0.524)
Au (0.343, 0.266, 0.879)
Au (0.657, 0.734, 0.121)
Au (0.685, 0.000, 0.476)
Au (0.694, 0.011, 0.901)
Au (0.734, 0.657, 0.621)
Au (0.989, 0.306, 0.599)

---

Verdict on stability: run 4 comes out on top.